DFT (PBE) results for crystalline Cs2NaTl6In at its relaxed geometry.

abc: 7.2594 7.9742 7.9742
angles: 120.00 90.00 90.00
Closest atoms and distances in Å follow each position.
Fractional positions:
Cs  0.3283  0.3333  0.6667  12 Tl 4.00-4.19
Cs  0.6717  0.6667  0.3333  12 Tl 4.00-4.19
Na  0.5000  0.0000  0.0000  6 Tl 3.54, 2 In 3.63
Tl  0.8141  0.1960  0.3921  1 In 3.03, 2 Tl 3.28
Tl  0.8141  0.1960  0.8040  1 In 3.03, 2 Tl 3.28
Tl  0.8141  0.6079  0.8040  1 In 3.03, 2 Tl 3.28
Tl  0.1859  0.8040  0.1960  1 In 3.03, 2 Tl 3.28
Tl  0.1859  0.3921  0.1960  1 In 3.03, 2 Tl 3.28
Tl  0.1859  0.8040  0.6079  1 In 3.03, 2 Tl 3.28
In  0.0000  0.0000  0.0000  6 Tl 3.03

Output
* VASP energy: -2.01 eV per atom
* DFT formation energy: -17 meV/atom

=====

DFT (PBE) results for crystalline Tl5HgPb2 at its relaxed geometry.

abc: 5.3844 6.8751 13.1835
angles: 90.00 90.00 90.00
Closest atoms and distances in Å follow each position.
Fractional positions:
Tl  0.0000  0.0000  0.0000  6 Tl 3.42-3.52, 2 Hg 3.44, 4 Pb 3.71
Tl  0.0000  0.5000  0.5000  6 Tl 3.42-3.52, 2 Hg 3.44, 4 Pb 3.71
Tl  0.0000  0.4361  0.7569  1 Hg 3.23, 7 Tl 3.42-3.48
Tl  0.0000  0.5639  0.2431  1 Hg 3.23, 7 Tl 3.42-3.48
Tl  0.0000  0.0639  0.2569  1 Hg 3.23, 7 Tl 3.42-3.48
Tl  0.0000  0.9361  0.7431  1 Hg 3.23, 7 Tl 3.42-3.48
Tl  0.5000  0.1744  0.8534  4 Pb 3.37-3.54, 6 Tl 3.47-3.52
Tl  0.5000  0.8256  0.1466  4 Pb 3.37-3.54, 6 Tl 3.47-3.52
Tl  0.5000  0.3256  0.3534  4 Pb 3.37-3.54, 6 Tl 3.47-3.52
Tl  0.5000  0.6744  0.6466  4 Pb 3.37-3.54, 6 Tl 3.47-3.52
Hg  0.0000  0.0000  0.5000  4 Pb 3.23, 4 Tl 3.23-3.44
Hg  0.0000  0.5000  0.0000  4 Pb 3.23, 4 Tl 3.23-3.44
Pb  0.5000  0.1801  0.5979  2 Hg 3.23, 4 Tl 3.37-3.54, 1 Pb 3.58
Pb  0.5000  0.8199  0.4021  2 Hg 3.23, 4 Tl 3.37-3.54, 1 Pb 3.58
Pb  0.5000  0.3199  0.0979  2 Hg 3.23, 4 Tl 3.37-3.54, 1 Pb 3.58
Pb  0.5000  0.6801  0.9021  2 Hg 3.23, 4 Tl 3.37-3.54, 1 Pb 3.58

Output
* VASP energy: -2.44 eV per atom
* DFT formation energy: 9 meV/atom